<i>
CaNiRu2: relaxed, PBE-GGA.

abc: 2.8282 2.8282 26.9425
angles: 90.00 90.00 120.00
Space group R-3m (No. 166, hexagonal axes)
One atom of each set of equivalent atoms:
Ca  0.0000  0.0000  0.0000 [3 per cell]
Ni  0.0000  0.0000  0.5000 [3 per cell]
Ru  0.0000  0.0000  0.2399 [6 per cell]

Summary:
Density of states at the Fermi level   1.459 states/eV/atom
Crystal system   trigonal

***

<ii>
CaNiRu2: relaxed, PBE-GGA.

abc: 5.4273 8.5818 2.6470
angles: 90.00 90.00 90.00
Space group Cmmm (No. 65)
One atom of each set of equivalent atoms:
Ca  0.0000  0.0000  0.0000 [2 per cell]
Ni  0.0000  0.5000  0.0000 [2 per cell]
Ru  0.2500  0.2500  0.5000 [4 per cell]

Summary:
Density of states at the Fermi level   1.336 states/eV/atom
Crystal system   orthorhombic

***

<iii>
CaNiRu2: relaxed, PBE-GGA.

abc: 2.8312 3.6536 6.4080
angles: 90.00 90.00 90.00
Space group Pmm2 (No. 25)
One atom of each set of equivalent atoms:
Ca  0.0000  0.0000  0.0000 [1 per cell]
Ni  0.5000  0.5000  0.2829 [1 per cell]
Ru  0.0000  0.0000  0.4923 [1 per cell]
Ru  0.5000  0.5000  0.6711 [1 per cell]

Summary:
Density of states at the Fermi level   0.953 states/eV/atom
Crystal system   orthorhombic

***

So which one is most stable? That would be <iii>, about 0.255 eV/atom below the next structure.

***

<i>
CaNiRu2: relaxed, PBE-GGA.

abc: 10.9722 2.7883 4.4997
angles: 90.00 114.00 90.00
Space group C2/m (No. 12)
One atom of each set of equivalent atoms:
Ca  0.0000  0.0000  0.0000 [2 per cell]
Ni  0.0000  0.5000  0.5000 [2 per cell]
Ru  0.2146  0.0000  0.7116 [4 per cell]

Summary:
Density of states at the Fermi level   1.371 states/eV/atom
Crystal system   monoclinic

***

<ii>
CaNiRu2: relaxed, PBE-GGA.

abc: 8.7805 2.8543 5.4144
angles: 90.00 98.86 90.00
Space group Cm (No. 8)
One atom of each set of equivalent atoms:
Ca  0.0000  0.0000  0.0000 [2 per cell]
Ni  0.2414  0.0000  0.7188 [2 per cell]
Ru  0.0061  0.5000  0.5001 [2 per cell]
Ru  0.2665  0.5000  0.3523 [2 per cell]

Summary:
Density of states at the Fermi level   1.363 states/eV/atom
Crystal system   monoclinic

***

So which one is most stable? That would be <i>, about 0.042 eV/atom below the next structure.

***

<i>
CaNiRu2: relaxed, PBE-GGA.

abc: 2.8545 4.5991 4.8896
angles: 90.00 98.89 90.00
Space group P2/m (No. 10)
One atom of each set of equivalent atoms:
Ca  0.0000  0.0000  0.0000 [1 per cell]
Ni  0.5000  0.0000  0.5000 [1 per cell]
Ru  0.3125  0.5000  0.7237 [2 per cell]

Summary:
Density of states at the Fermi level   1.716 states/eV/atom
Crystal system   monoclinic

***

<ii>
CaNiRu2: relaxed, PBE-GGA.

abc: 3.7956 3.7956 4.3691
angles: 90.00 90.00 90.00
Space group P4/mmm (No. 123)
One atom of each set of equivalent atoms:
Ca  0.0000  0.0000  0.0000 [1 per cell]
Ni  0.5000  0.5000  0.0000 [1 per cell]
Ru  0.0000  0.5000  0.5000 [2 per cell]

Summary:
Density of states at the Fermi level   1.164 states/eV/atom
Crystal system   tetragonal

***

<iii>
CaNiRu2: relaxed, PBE-GGA.

abc: 3.0530 3.0530 7.0486
angles: 90.00 90.00 90.00
Space group P4/mmm (No. 123)
One atom of each set of equivalent atoms:
Ca  0.0000  0.0000  0.0000 [1 per cell]
Ni  0.0000  0.0000  0.5000 [1 per cell]
Ru  0.5000  0.5000  0.3152 [2 per cell]

Summary:
Density of states at the Fermi level   1.854 states/eV/atom
Crystal system   tetragonal

***

So which one is most stable? That would be <iii>, about 0.014 eV/atom below the next structure.

***

<i>
CaNiRu2: relaxed, PBE-GGA.

abc: 4.0150 4.0150 18.6009
angles: 90.00 90.00 90.00
Space group I-42d (No. 122)
One atom of each set of equivalent atoms:
Ca  0.0000  0.0000  0.0000 [4 per cell]
Ni  0.0000  0.0000  0.5000 [4 per cell]
Ru  0.1494  0.7500  0.6250 [8 per cell]

Summary:
Density of states at the Fermi level   1.322 states/eV/atom
Crystal system   tetragonal

***

<ii>
CaNiRu2: relaxed, PBE-GGA.

abc: 4.2107 2.8082 11.0316
angles: 90.00 90.00 90.00
Space group Amm2 (No. 38)
One atom of each set of equivalent atoms:
Ca  0.0000  0.0000  0.0000 [2 per cell]
Ni  0.5000  0.0000  0.6212 [2 per cell]
Ru  0.0000  0.0000  0.7453 [2 per cell]
Ru  0.5000  0.0000  0.3180 [2 per cell]

Summary:
Density of states at the Fermi level   1.133 states/eV/atom
Crystal system   orthorhombic

***

<iii>
CaNiRu2: relaxed, PBE-GGA.

abc: 5.3554 9.4562 2.7170
angles: 90.00 115.76 90.00
Space group C2/m (No. 12)
One atom of each set of equivalent atoms:
Ca  0.0000  0.0000  0.0000 [2 per cell]
Ni  0.0000  0.5000  0.0000 [2 per cell]
Ru  0.2500  0.2500  0.5000 [4 per cell]

Summary:
Density of states at the Fermi level   1.575 states/eV/atom
Crystal system   monoclinic

***

So which one is most stable? That would be <ii>, about 0.180 eV/atom below the next structure.

***

<i>
Ca3NiRu: relaxed, PBE-GGA.

abc: 5.2830 5.2830 5.2830
angles: 90.00 90.00 90.00
Space group Pm-3m (No. 221)
One atom of each set of equivalent atoms:
Ca  0.0000  0.0000  0.5000 [3 per cell]
Ni  0.5000  0.5000  0.5000 [1 per cell]
Ru  0.0000  0.0000  0.0000 [1 per cell]

Summary:
Density of states at the Fermi level   0.258 states/eV/atom
Crystal system   cubic

***

<ii>
Ca3NiRu: relaxed, PBE-GGA.

abc: 5.1838 5.1838 5.1838
angles: 90.00 90.00 90.00
Space group Pm-3m (No. 221)
One atom of each set of equivalent atoms:
Ca  0.0000  0.0000  0.5000 [3 per cell]
Ni  0.0000  0.0000  0.0000 [1 per cell]
Ru  0.5000  0.5000  0.5000 [1 per cell]

Summary:
Density of states at the Fermi level   1.085 states/eV/atom
Crystal system   cubic

***

So which one is most stable? That would be <i>, about 0.033 eV/atom below the next structure.

***

<i>
CaNi2Ru: relaxed, PBE-GGA.

abc: 2.7442 3.5784 6.3510
angles: 90.00 90.00 90.00
Space group Pmmm (No. 47)
One atom of each set of equivalent atoms:
Ca  0.0000  0.0000  0.0000 [1 per cell]
Ni  0.5000  0.5000  0.3095 [2 per cell]
Ru  0.0000  0.0000  0.5000 [1 per cell]

Summary:
Density of states at the Fermi level   1.211 states/eV/atom
Crystal system   orthorhombic

***

<ii>
CaNi2Ru: relaxed, PBE-GGA.

abc: 4.6164 4.6164 2.7433
angles: 90.00 90.00 90.00
Space group P4/mmm (No. 123)
One atom of each set of equivalent atoms:
Ca  0.0000  0.0000  0.0000 [1 per cell]
Ni  0.0000  0.5000  0.5000 [2 per cell]
Ru  0.5000  0.5000  0.0000 [1 per cell]

Summary:
Density of states at the Fermi level   1.453 states/eV/atom
Crystal system   tetragonal

***

<iii>
CaNi2Ru: relaxed, PBE-GGA.

abc: 2.7598 4.2004 5.4210
angles: 90.00 103.80 90.00
Space group Pm (No. 6)
One atom of each set of equivalent atoms:
Ca  0.0000  0.0000  0.0000 [1 per cell]
Ni  0.6098  0.5000  0.2308 [1 per cell]
Ni  0.7272  0.0000  0.4947 [1 per cell]
Ru  0.2940  0.5000  0.6217 [1 per cell]

Summary:
Density of states at the Fermi level   0.935 states/eV/atom
Crystal system   monoclinic

***

So which one is most stable? That would be <i>, about 0.025 eV/atom below the next structure.

***

<i>
CaNiRu3: relaxed, PBE-GGA.

abc: 4.5828 4.5828 4.5828
angles: 90.00 90.00 90.00
Space group Pm-3m (No. 221)
One atom of each set of equivalent atoms:
Ca  0.0000  0.0000  0.0000 [1 per cell]
Ni  0.5000  0.5000  0.5000 [1 per cell]
Ru  0.0000  0.0000  0.5000 [3 per cell]

Summary:
Density of states at the Fermi level   3.917 states/eV/atom
Crystal system   cubic

***

<ii>
CaNiRu3: relaxed, PBE-GGA.

abc: 4.5639 4.5639 4.5639
angles: 90.00 90.00 90.00
Space group Pm-3m (No. 221)
One atom of each set of equivalent atoms:
Ca  0.0000  0.0000  0.0000 [1 per cell]
Ni  0.5000  0.5000  0.5000 [1 per cell]
Ru  0.0000  0.5000  0.5000 [3 per cell]

Summary:
Density of states at the Fermi level   1.382 states/eV/atom
Crystal system   cubic

***

So which one is most stable? That would be <ii>, about 1.574 eV/atom below the next structure.

***

<i>
CaNi4S8: relaxed, PBE-GGA.

abc: 6.9836 6.9836 17.0241
angles: 90.00 90.00 120.00
Space group R-3m (No. 166, hexagonal axes)
One atom of each set of equivalent atoms:
Ca  0.0000  0.0000  0.0000 [3 per cell]
Ni  0.0000  0.0000  0.5000 [3 per cell]
Ni  0.0000  0.5000  0.0000 [9 per cell]
S  0.0000  0.0000  0.2655 [6 per cell]
S  0.0472  0.5236  0.2543 [18 per cell]

Summary:
Density of states at the Fermi level   0.724 states/eV/atom
Crystal system   trigonal

***

<ii>
CaNi4S8: relaxed, PBE-GGA.

abc: 6.7692 6.7692 19.7244
angles: 90.00 90.00 120.00
Space group R-3m (No. 166, hexagonal axes)
One atom of each set of equivalent atoms:
Ca  0.0000  0.0000  0.0000 [3 per cell]
Ni  0.0000  0.0000  0.5000 [3 per cell]
Ni  0.0000  0.5000  0.5000 [9 per cell]
S  0.0000  0.0000  0.2263 [6 per cell]
S  0.0051  0.5025  0.7727 [18 per cell]

Summary:
Density of states at the Fermi level   0.617 states/eV/atom
Crystal system   trigonal

***

So which one is most stable? That would be <ii>, about 0.055 eV/atom below the next structure.

***

<i>
CaNi3Sb2: relaxed, PBE-GGA.

abc: 16.1890 4.2074 7.4713
angles: 90.00 116.39 90.00
Space group C2/m (No. 12)
One atom of each set of equivalent atoms:
Ca  0.1481  0.0000  0.0771 [4 per cell]
Ni  0.0264  0.0000  0.3771 [4 per cell]
Ni  0.0870  0.5000  0.6331 [4 per cell]
Ni  0.1948  0.5000  0.4631 [4 per cell]
Sb  0.0261  0.5000  0.2150 [4 per cell]
Sb  0.1878  0.0000  0.6758 [4 per cell]

Summary:
Density of states at the Fermi level   0.747 states/eV/atom
Crystal system   monoclinic

***

<ii>
CaNi3Sb2: relaxed, PBE-GGA.

abc: 16.2866 4.1118 10.0210
angles: 90.00 103.81 90.00
Space group C2/m (No. 12)
One atom of each set of equivalent atoms:
Ca  0.0000  0.0000  0.0000 [2 per cell]
Ca  0.1604  0.0000  0.7108 [4 per cell]
Ni  0.0000  0.5000  0.5000 [2 per cell]
Ni  0.0502  0.0000  0.3670 [4 per cell]
Ni  0.1318  0.5000  0.2032 [4 per cell]
Ni  0.1550  0.5000  0.9573 [4 per cell]
Ni  0.2060  0.0000  0.3597 [4 per cell]
Sb  0.0225  0.5000  0.7670 [4 per cell]
Sb  0.1528  0.5000  0.4649 [4 per cell]
Sb  0.2007  0.0000  0.1064 [4 per cell]

Summary:
Density of states at the Fermi level   0.742 states/eV/atom
Crystal system   monoclinic

***

So which one is most stable? That would be <ii>, about 0.052 eV/atom below the next structure.

***

<i>
CaNi3Sb: relaxed, PBE-GGA.

abc: 5.0287 8.6607 8.4818
angles: 90.00 90.00 90.00
Space group Imma (No. 74)
One atom of each set of equivalent atoms:
Ca  0.0000  0.2500  0.0410 [4 per cell]
Ni  0.0000  0.2500  0.6767 [4 per cell]
Ni  0.2500  0.0222  0.7500 [8 per cell]
Sb  0.0000  0.0000  0.5000 [4 per cell]

Summary:
Density of states at the Fermi level   0.803 states/eV/atom
Crystal system   orthorhombic

***

<ii>
CaNi3Sb: relaxed, PBE-GGA.

abc: 4.7067 4.7067 4.7067
angles: 90.00 90.00 90.00
Space group Pm-3m (No. 221)
One atom of each set of equivalent atoms:
Ca  0.0000  0.0000  0.0000 [1 per cell]
Ni  0.0000  0.5000  0.5000 [3 per cell]
Sb  0.5000  0.5000  0.5000 [1 per cell]

Summary:
Density of states at the Fermi level   1.469 states/eV/atom
Crystal system   cubic

***

<iii>
CaNi3Sb: relaxed, PBE-GGA.

abc: 4.5850 4.5850 4.5850
angles: 90.00 90.00 90.00
Space group Pm-3m (No. 221)
One atom of each set of equivalent atoms:
Ca  0.0000  0.0000  0.0000 [1 per cell]
Ni  0.0000  0.0000  0.5000 [3 per cell]
Sb  0.5000  0.5000  0.5000 [1 per cell]

Summary:
Density of states at the Fermi level   0.671 states/eV/atom
Crystal system   cubic

***

So which one is most stable? That would be <i>, about 0.468 eV/atom below the next structure.

***

<i>
CaNiSb3: relaxed, PBE-GGA.

abc: 5.1043 5.1043 5.1043
angles: 90.00 90.00 90.00
Space group Pm-3m (No. 221)
One atom of each set of equivalent atoms:
Ca  0.0000  0.0000  0.0000 [1 per cell]
Ni  0.5000  0.5000  0.5000 [1 per cell]
Sb  0.0000  0.5000  0.5000 [3 per cell]

Summary:
Density of states at the Fermi level   0.670 states/eV/atom
Crystal system   cubic

***

<ii>
CaNiSb3: relaxed, PBE-GGA.

abc: 5.6329 5.6329 5.6329
angles: 90.00 90.00 90.00
Space group Pm-3m (No. 221)
One atom of each set of equivalent atoms:
Ca  0.0000  0.0000  0.0000 [1 per cell]
Ni  0.5000  0.5000  0.5000 [1 per cell]
Sb  0.0000  0.0000  0.5000 [3 per cell]

Summary:
Density of states at the Fermi level   1.672 states/eV/atom
Crystal system   cubic

***

So which one is most stable? That would be <i>, about 1.282 eV/atom below the next structure.